SiAsPt2: relaxed, GGA-PBE.

Cell: 6.372 6.372 6.372 Å, 90.00 90.00 90.00°
Fractional coordinates of all 16 atoms:
Si1 0.000 0.000 0.000
Si2 0.000 0.500 0.500
Si3 0.500 0.000 0.500
Si4 0.500 0.500 0.000
As1 0.250 0.250 0.250
As2 0.250 0.750 0.750
As3 0.750 0.250 0.750
As4 0.750 0.750 0.250
Pt1 0.000 0.000 0.500
Pt2 0.000 0.500 0.000
Pt3 0.250 0.250 0.750
Pt4 0.250 0.750 0.250
Pt5 0.500 0.000 0.000
Pt6 0.500 0.500 0.500
Pt7 0.750 0.250 0.250
Pt8 0.750 0.750 0.750

The value obtained for the density of states at the Fermi level is 1.0483 states/eV/atom. For the raw formation energy, the calculation gives 198 meV/atom.

SiAs2Pt: relaxed, GGA-PBE.

Cell: 4.862 4.862 2.864 Å, 90.00 90.00 90.00°
Fractional coordinates of all 4 atoms:
Si1 0.000 0.000 0.000
As1 0.000 0.500 0.500
As2 0.500 0.000 0.500
Pt1 0.500 0.500 0.000

The value obtained for the density of states at the Fermi level is 0.5429 states/eV/atom. For the raw formation energy, the calculation gives 252 meV/atom.

SiAsPt2: relaxed, GGA-PBE.

Cell: 5.477 7.124 7.141 Å, 90.00 90.00 90.00°
Fractional coordinates of all 16 atoms:
Si1 0.000 0.000 0.000
Si2 0.000 0.500 0.500
Si3 0.500 0.000 0.500
Si4 0.500 0.500 0.000
As1 0.000 0.000 0.500
As2 0.000 0.500 0.000
As3 0.500 0.000 0.000
As4 0.500 0.500 0.500
Pt1 0.000 0.250 0.250
Pt2 0.000 0.250 0.750
Pt3 0.000 0.750 0.250
Pt4 0.000 0.750 0.750
Pt5 0.500 0.250 0.250
Pt6 0.500 0.250 0.750
Pt7 0.500 0.750 0.250
Pt8 0.500 0.750 0.750

The value obtained for the density of states at the Fermi level is 0.5222 states/eV/atom. For the raw formation energy, the calculation gives -123 meV/atom.

SiAsPt2: relaxed, GGA-PBE.

Cell: 2.987 2.987 7.106 Å, 90.00 90.00 90.00°
Fractional coordinates of all 4 atoms:
Si1 0.000 0.000 0.000
As1 0.000 0.000 0.500
Pt1 0.500 0.500 0.203
Pt2 0.500 0.500 0.797

The value obtained for the density of states at the Fermi level is 0.4782 states/eV/atom. For the raw formation energy, the calculation gives -229 meV/atom.